Here is a relaxed structure of Ho2Tm3Th4 from Alexandria via LeMat-Bulk. Energies are from GGA-PBE.

Computed properties:
Formation energy, eV/f.u.: 1.27
Total DFT energy (no corrections), eV per atom: -5.66
N(E_F), states/eV/cell: 30.17

Unit cell a=6.930 b=9.662 c=9.662 alpha=64.65 beta=79.69 gamma=79.69
Fractional coordinates of all 18 atoms:
Ho: 0.834 0.154 0.499
Ho: 0.666 0.501 0.846
Ho: 0.334 0.499 0.154
Ho: 0.166 0.846 0.501
Th: 0.162 0.504 0.842
Th: 0.003 0.175 0.826
Th: 0.503 0.826 0.175
Th: 0.997 0.825 0.174
Th: 0.838 0.496 0.158
Th: 0.497 0.174 0.825
Th: 0.662 0.842 0.504
Th: 0.338 0.158 0.496
Tm: 0.750 0.499 0.501
Tm: 0.169 0.164 0.161
Tm: 0.669 0.161 0.164
Tm: 0.831 0.836 0.839
Tm: 0.331 0.839 0.836
Tm: 0.250 0.501 0.499

Here is a relaxed structure of LaZrBr2 from Alexandria via LeMat-Bulk. Energies are from GGA-PBE.

Computed properties:
Formation energy without anion corrections, eV per atom: -0.944
Total DFT energy (no corrections), eV per atom: -5.15
N(E_F), states/eV/cell: 1.52

Unit cell a=10.667 b=10.667 c=10.667 alpha=20.30 beta=20.30 gamma=20.30
Last column: magnetic moment on the atom in μB.
Fractional coordinates of all 4 atoms:
La: 0.499 0.499 0.499  0.14
Br: 0.021 0.021 0.021  0.01
Br: 0.234 0.234 0.234  0.01
Zr: 0.745 0.745 0.745  0.16